This record from Alexandria via LeMat-Bulk describes a relaxed Pm2MnAs3Ir4 crystal. The functional is PBE-GGA.

Cell lengths 4.185, 4.185, 10.421 Å; angles 90.00, 90.00, 90.00 degrees
Space group P-4m2 (No. 115)
One atom of each set of equivalent atoms:
Pm (0.000, 0.500, 0.249) x2
Mn (0.500, 0.500, 0.000) x1
As (0.000, 0.000, 0.000) x1
As (0.000, 0.500, 0.638) x2
Ir (0.000, 0.000, 0.500) x1
Ir (0.000, 0.500, 0.869) x2
Ir (0.500, 0.500, 0.500) x1

**Energy of formation**: -66.2 kJ per mole of atoms
**Fermi-level density of states**: 5.93 states/eV/f.u.
**Final energy**: -7.492 eV/atom